! Ba2GeBi5, relaxed, DFT PBE; values from VASP
! Electronic total energy in eV/atom: -3.883
! Formation enthalpy at 0 K in eV per atom: -0.40
&SYSTEM
  ibrav = 0, nat = 8, ntyp = 3
/
ATOMIC_SPECIES
Bi 208.98 Bi.upf
Ba 137.33 Ba.upf
Ge 72.64 Ge.upf
CELL_PARAMETERS angstrom
7.334 0.000 0.000
0.000 7.335 0.000
-3.667 -3.667 5.280
ATOMIC_POSITIONS angstrom
Bi 3.667 3.667 3.166
Ba 0.000 3.667 2.412
Ba 3.667 0.000 2.411
Bi -1.672 1.672 5.062
Bi 1.672 1.672 5.062
Bi -1.671 -1.671 5.062
Ge 0.000 0.000 1.086
Bi 1.672 -1.672 5.062